This record from Alexandria via LeMat-Bulk describes Ba4AlCr after structural relaxation. The functional is PBE-GGA.

Structure (CIF):
```
data_Ba4AlCr
_chemical_formula_sum 'Ba16 Al4 Cr4'
_space_group_name_H-M_alt 'F -4 3 m'
_space_group_IT_number 216
_space_group_name_Hall 'F -4 2 3'
_cell_length_a 10.1868
_cell_length_b 10.1868
_cell_length_c 10.1868
_cell_angle_alpha 90.00
_cell_angle_beta 90.00
_cell_angle_gamma 90.00
loop_
_atom_site_label
_atom_site_type_symbol
_atom_site_fract_x
_atom_site_fract_y
_atom_site_fract_z
Ba1 Ba 0.1244 0.1244 0.3756
Al1 Al 0.2500 0.2500 0.7500
Cr1 Cr 0.0000 0.0000 0.0000
```

Properties
ΔH_f (0 K) in eV/atom: 0.829
Total magnetic moment in μB per formula unit: 3.911

This record from Alexandria via LeMat-Bulk describes Cs2LaInF6 after structural relaxation. The functional is PBE-GGA.

Structure (CIF):
```
data_Cs2LaInF6
_chemical_formula_sum 'Cs4 La2 In2 F12'
_space_group_name_H-M_alt 'P 1 21/c 1'
_space_group_IT_number 14
_cell_length_a 6.9976
_cell_length_b 7.0604
_cell_length_c 12.1050
_cell_angle_alpha 90.00
_cell_angle_beta 125.24
_cell_angle_gamma 90.00
loop_
_space_group_symop_operation_xyz
'x,y,z'
'-x,-y,-z'
'-x,y+1/2,-z+1/2'
'x,-y+1/2,z+1/2'
loop_
_atom_site_label
_atom_site_type_symbol
_atom_site_fract_x
_atom_site_fract_y
_atom_site_fract_z
Cs1 Cs 0.2396 0.0321 0.2490
La1 La 0.5000 0.0000 0.0000
In1 In 0.0000 0.0000 0.5000
F1 F 0.1974 0.1963 0.9607
F2 F 0.2584 0.7380 0.9506
F3 F 0.3545 0.0312 0.7719
```

Properties
E_form (uncorrected) in eV/f.u.: -30.8
E above lowest polymorph in meV/atom: 0
Total magnetic moment in μB per formula unit: 0.000

This record from Alexandria via LeMat-Bulk describes Cs2RuCl4O2 after structural relaxation. The functional is PBE-GGA.

Structure (CIF):
```
data_Cs2RuCl4O2
_chemical_formula_sum 'Cs4 Ru2 Cl8 O4'
_space_group_name_H-M_alt 'C 1 2/m 1'
_space_group_IT_number 12
_cell_length_a 11.9973
_cell_length_b 7.4009
_cell_length_c 5.9837
_cell_angle_alpha 90.00
_cell_angle_beta 98.48
_cell_angle_gamma 90.00
loop_
_space_group_symop_operation_xyz
'x,y,z'
'-x,-y,-z'
'-x,y,-z'
'x,-y,z'
'x+1/2,y+1/2,z'
'-x+1/2,-y+1/2,-z'
'-x+1/2,y+1/2,-z'
'x+1/2,-y+1/2,z'
loop_
_atom_site_label
_atom_site_type_symbol
_atom_site_fract_x
_atom_site_fract_y
_atom_site_fract_z
Cs1 Cs 0.1651 0.0000 0.3104
Ru1 Ru 0.0000 0.5000 0.0000
Cl1 Cl 0.0919 0.2645 0.8089
O1 O 0.1133 0.5000 0.2183
```

Properties
E_form (uncorrected) in eV/f.u.: -11.0
Total magnetic moment in μB per formula unit: 0.000

This record from Alexandria via LeMat-Bulk describes AcPm6Pr2Sm3 after structural relaxation. The functional is PBE-GGA.

Structure (CIF):
```
data_AcPm6Pr2Sm3
_chemical_formula_sum 'Ac2 Pm12 Pr4 Sm6'
_space_group_name_H-M_alt 'C 1 2/m 1'
_space_group_IT_number 12
_cell_length_a 6.3895
_cell_length_b 11.0680
_cell_length_c 12.2057
_cell_angle_alpha 90.00
_cell_angle_beta 100.11
_cell_angle_gamma 90.00
loop_
_space_group_symop_operation_xyz
'x,y,z'
'-x,-y,-z'
'-x,y,-z'
'x,-y,z'
'x+1/2,y+1/2,z'
'-x+1/2,-y+1/2,-z'
'-x+1/2,y+1/2,-z'
'x+1/2,-y+1/2,z'
loop_
_atom_site_label
_atom_site_type_symbol
_atom_site_fract_x
_atom_site_fract_y
_atom_site_fract_z
Ac1 Ac 0.0000 0.0000 0.0000
Pm1 Pm 0.2468 0.3324 0.7455
Pm2 Pm 0.2497 0.0000 0.7452
Pr1 Pr 0.0000 0.3335 0.0000
Sm1 Sm 0.0000 0.1670 0.5000
Sm2 Sm 0.0000 0.5000 0.5000
```

Properties
ΔH_f (0 K) in eV/atom: 0.022
Total magnetic moment in μB per formula unit: 0.000

This record from Alexandria via LeMat-Bulk describes HfMnCd2Mo after structural relaxation. The functional is PBE-GGA.

Structure (CIF):
```
data_HfMnCd2Mo
_chemical_formula_sum 'Hf1 Mn1 Cd2 Mo1'
_space_group_name_H-M_alt 'P 4/m m m'
_space_group_IT_number 123
_space_group_name_Hall '-P 4 2'
_cell_length_a 4.9527
_cell_length_b 4.9527
_cell_length_c 4.5114
_cell_angle_alpha 90.00
_cell_angle_beta 90.00
_cell_angle_gamma 90.00
loop_
_atom_site_label
_atom_site_type_symbol
_atom_site_fract_x
_atom_site_fract_y
_atom_site_fract_z
Hf1 Hf 0.0000 0.0000 0.0000
Mn1 Mn 0.0000 0.0000 0.5000
Cd1 Cd 0.0000 0.5000 0.5000
Mo1 Mo 0.5000 0.5000 0.0000
```

Properties
ΔH_f (0 K) in eV/atom: 1.151
Total magnetic moment in μB per formula unit: 4.205

This record from Alexandria via LeMat-Bulk describes LiPa2Ru4 after structural relaxation. The functional is PBE-GGA.

Structure (CIF):
```
data_LiPa2Ru4
_chemical_formula_sum 'Li2 Pa4 Ru8'
_space_group_name_H-M_alt 'C 1 2/m 1'
_space_group_IT_number 12
_cell_length_a 5.6755
_cell_length_b 7.8484
_cell_length_c 6.3176
_cell_angle_alpha 90.00
_cell_angle_beta 115.77
_cell_angle_gamma 90.00
loop_
_space_group_symop_operation_xyz
'x,y,z'
'-x,-y,-z'
'-x,y,-z'
'x,-y,z'
'x+1/2,y+1/2,z'
'-x+1/2,-y+1/2,-z'
'-x+1/2,y+1/2,-z'
'x+1/2,-y+1/2,z'
loop_
_atom_site_label
_atom_site_type_symbol
_atom_site_fract_x
_atom_site_fract_y
_atom_site_fract_z
Li1 Li 0.0000 0.0000 0.0000
Pa1 Pa 0.1486 0.5000 0.2933
Ru1 Ru 0.0000 0.2505 0.5000
Ru2 Ru 0.2500 0.2500 0.0000
```

Properties
ΔH_f (0 K) in eV/atom: -0.052
Total magnetic moment in μB per formula unit: 0.000

This record from Alexandria via LeMat-Bulk describes MgCd2In after structural relaxation. The functional is PBE-GGA.

Structure (CIF):
```
data_MgCd2In
_chemical_formula_sum 'Mg1 Cd2 In1'
_space_group_name_H-M_alt 'P m m m'
_space_group_IT_number 47
_cell_length_a 3.3323
_cell_length_b 4.4533
_cell_length_c 6.2351
_cell_angle_alpha 90.00
_cell_angle_beta 90.00
_cell_angle_gamma 90.00
loop_
_space_group_symop_operation_xyz
'x,y,z'
'-x,-y,-z'
'-x,-y,z'
'x,y,-z'
'x,-y,-z'
'-x,y,z'
'-x,y,-z'
'x,-y,z'
loop_
_atom_site_label
_atom_site_type_symbol
_atom_site_fract_x
_atom_site_fract_y
_atom_site_fract_z
Mg1 Mg 0.0000 0.0000 0.0000
Cd1 Cd 0.5000 0.5000 0.2391
In1 In 0.0000 0.0000 0.5000
```

Properties
ΔH_f (0 K) in eV/atom: -0.035
Total magnetic moment in μB per formula unit: 0.000

This record from Alexandria via LeMat-Bulk describes Ba2GaN after structural relaxation. The functional is PBE-GGA.

Structure (CIF):
```
data_Ba2GaN
_chemical_formula_sum 'Ba8 Ga4 N4'
_space_group_name_H-M_alt 'P n m a'
_space_group_IT_number 62
_cell_length_a 7.8801
_cell_length_b 5.8063
_cell_length_c 10.4618
_cell_angle_alpha 90.00
_cell_angle_beta 90.00
_cell_angle_gamma 90.00
loop_
_space_group_symop_operation_xyz
'x,y,z'
'-x,-y,-z'
'-x+1/2,-y,z+1/2'
'x+1/2,y,-z+1/2'
'x+1/2,-y+1/2,-z+1/2'
'-x+1/2,y+1/2,z+1/2'
'-x,y+1/2,-z'
'x,-y+1/2,z'
loop_
_atom_site_label
_atom_site_type_symbol
_atom_site_fract_x
_atom_site_fract_y
_atom_site_fract_z
Ba1 Ba 0.0338 0.2500 0.2061
Ba2 Ba 0.1527 0.2500 0.5730
Ga1 Ga 0.2256 0.2500 0.9082
N1 N 0.1590 0.7500 0.5691
```

Properties
E_form (uncorrected) in eV/f.u.: -1.8
E above lowest polymorph in meV/atom: 0
Total magnetic moment in μB per formula unit: 0.000

This record from Alexandria via LeMat-Bulk describes LaZr2Al after structural relaxation. The functional is PBE-GGA.

Structure (CIF):
```
data_LaZr2Al
_chemical_formula_sum 'La1 Zr2 Al1'
_space_group_name_H-M_alt 'P 1 2/m 1'
_space_group_IT_number 10
_cell_length_a 3.2915
_cell_length_b 4.9941
_cell_length_c 6.1042
_cell_angle_alpha 90.00
_cell_angle_beta 102.00
_cell_angle_gamma 90.00
loop_
_space_group_symop_operation_xyz
'x,y,z'
'-x,-y,-z'
'-x,y,-z'
'x,-y,z'
loop_
_atom_site_label
_atom_site_type_symbol
_atom_site_fract_x
_atom_site_fract_y
_atom_site_fract_z
La1 La 0.0000 0.0000 0.0000
Zr1 Zr 0.3325 0.5000 0.7189
Al1 Al 0.5000 0.0000 0.5000
```

Properties
ΔH_f (0 K) in eV/atom: 0.006
Total magnetic moment in μB per formula unit: 0.000

This record from Alexandria via LeMat-Bulk describes Sm4TlAgAu2 after structural relaxation. The functional is PBE-GGA.

Structure (CIF):
```
data_Sm4TlAgAu2
_chemical_formula_sum 'Sm12 Tl3 Ag3 Au6'
_space_group_name_H-M_alt 'R -3 m'
_space_group_IT_number 166
_space_group_name_Hall '-R 3 2"'
_cell_length_a 5.2730
_cell_length_b 5.2730
_cell_length_c 25.8340
_cell_angle_alpha 90.00
_cell_angle_beta 90.00
_cell_angle_gamma 120.00
loop_
_atom_site_label
_atom_site_type_symbol
_atom_site_fract_x
_atom_site_fract_y
_atom_site_fract_z
Sm1 Sm 0.0000 0.0000 0.1210
Sm2 Sm 0.0000 0.0000 0.3718
Tl1 Tl 0.0000 0.0000 0.5000
Ag1 Ag 0.0000 0.0000 0.0000
Au1 Au 0.0000 0.0000 0.2470
```

Properties
ΔH_f (0 K) in eV/atom: -0.541
Total magnetic moment in μB per formula unit: 0.000

This record from Alexandria via LeMat-Bulk describes AcTmTaN3 after structural relaxation. The functional is PBE-GGA.

Structure (CIF):
```
data_AcTmTaN3
_chemical_formula_sum 'Ac2 Tm2 Ta2 N6'
_space_group_name_H-M_alt 'P 1 21/m 1'
_space_group_IT_number 11
_cell_length_a 7.7198
_cell_length_b 3.5006
_cell_length_c 8.1726
_cell_angle_alpha 90.00
_cell_angle_beta 96.12
_cell_angle_gamma 90.00
loop_
_space_group_symop_operation_xyz
'x,y,z'
'-x,-y,-z'
'-x,y+1/2,-z'
'x,-y+1/2,z'
loop_
_atom_site_label
_atom_site_type_symbol
_atom_site_fract_x
_atom_site_fract_y
_atom_site_fract_z
Ac1 Ac 0.1723 0.2500 0.1751
Tm1 Tm 0.3832 0.7500 0.8556
Ta1 Ta 0.1228 0.2500 0.5842
N1 N 0.1594 0.2500 0.8266
N2 N 0.1610 0.7500 0.4614
N3 N 0.4039 0.7500 0.1250
```

Properties
E_form (uncorrected) in eV/f.u.: -6.4
Total magnetic moment in μB per formula unit: 0.000

This record from Alexandria via LeMat-Bulk describes DyZn7Ni5 after structural relaxation. The functional is PBE-GGA.

Structure (CIF):
```
data_DyZn7Ni5
_chemical_formula_sum 'Dy2 Zn14 Ni10'
_space_group_name_H-M_alt 'I m m 2'
_space_group_IT_number 44
_cell_length_a 5.0224
_cell_length_b 8.5298
_cell_length_c 8.4812
_cell_angle_alpha 90.00
_cell_angle_beta 90.00
_cell_angle_gamma 90.00
loop_
_space_group_symop_operation_xyz
'x,y,z'
'-x,-y,z'
'-x,y,z'
'x,-y,z'
'x+1/2,y+1/2,z+1/2'
'-x+1/2,-y+1/2,z+1/2'
'-x+1/2,y+1/2,z+1/2'
'x+1/2,-y+1/2,z+1/2'
loop_
_atom_site_label
_atom_site_type_symbol
_atom_site_fract_x
_atom_site_fract_y
_atom_site_fract_z
Dy1 Dy 0.0000 0.0000 0.0000
Zn1 Zn 0.0000 0.0000 0.3519
Zn2 Zn 0.0000 0.0000 0.6667
Zn3 Zn 0.0000 0.2867 0.5177
Zn4 Zn 0.0000 0.3461 0.0297
Zn5 Zn 0.0000 0.5000 0.7462
Ni1 Ni 0.0000 0.5000 0.2964
Ni2 Ni 0.2482 0.2490 0.7715
```

Properties
ΔH_f (0 K) in eV/atom: -0.300
Total magnetic moment in μB per formula unit: 0.000